(1)
KLaFeSe3 | PBE | relaxed

Cell: 17.844 4.418 8.864 Å, 90.00 104.95 90.00°
Space group C2/m (No. 12)
Unique sites:
K: 0.139 0.000 0.074
La: 0.169 0.000 0.596
Fe: 0.007 0.500 0.727
Se: 0.000 0.000 0.500
Se: 0.000 0.500 0.000
Se: 0.156 0.500 0.360
Se: 0.156 0.500 0.808

Values from the calculation:
* crystal system: monoclinic
* relative energy among the computed polymorphs: 167 meV per atom

(2)
KLaFeSe3 | PBE | relaxed

Cell: 4.280 14.569 11.456 Å, 90.00 90.00 90.00°
Space group Cmcm (No. 63)
Unique sites:
K: 0.000 0.245 0.250
La: 0.000 0.500 0.000
Fe: 0.000 0.032 0.750
Se: 0.000 0.130 0.579
Se: 0.000 0.437 0.750

Values from the calculation:
* crystal system: orthorhombic
* relative energy among the computed polymorphs: 7 meV per atom

(3)
KLaFeSe3 | PBE | relaxed

Cell: 8.727 4.230 10.433 Å, 90.00 105.96 90.00°
Space group P2_1/m (No. 11)
Unique sites:
K: 0.244 0.250 0.210
La: 0.192 0.750 0.642
Fe: 0.433 0.250 0.915
Se: 0.046 0.750 0.349
Se: 0.285 0.750 0.952
Se: 0.445 0.250 0.686

Values from the calculation:
* crystal system: monoclinic
* relative energy among the computed polymorphs: 0 meV per atom

(4)
KLaFeSe3 | PBE | relaxed

Cell: 9.681 4.331 16.043 Å, 90.00 90.00 90.00°
Space group Pnma (No. 62)
Unique sites:
K: 0.067 0.250 0.192
La: 0.192 0.750 0.444
Fe: 0.143 0.250 0.633
Se: 0.015 0.750 0.604
Se: 0.163 0.750 0.038
Se: 0.193 0.250 0.777

Values from the calculation:
* crystal system: orthorhombic
* relative energy among the computed polymorphs: 46 meV per atom

(5)
KLaFeSe3 | PBE | relaxed

Cell: 11.684 4.381 12.673 Å, 90.00 90.00 90.00°
Space group Pnma (No. 62)
Unique sites:
K: 0.172 0.250 0.007
La: 0.017 0.250 0.675
Fe: 0.246 0.250 0.293
Se: 0.054 0.750 0.836
Se: 0.113 0.250 0.441
Se: 0.217 0.750 0.203

Values from the calculation:
* crystal system: orthorhombic
* relative energy among the computed polymorphs: 3 meV per atom

(6)
KLaFeTe3 | PBE | relaxed

Cell: 9.452 4.438 10.968 Å, 90.00 106.72 90.00°
Space group P2_1/m (No. 11)
Unique sites:
K: 0.247 0.250 0.286
La: 0.311 0.750 0.858
Fe: 0.062 0.250 0.578
Te: 0.058 0.250 0.818
Te: 0.220 0.750 0.545
Te: 0.453 0.750 0.161

Values from the calculation:
* crystal system: monoclinic
* relative energy among the computed polymorphs: 1 meV per atom

(7)
KLaFeTe3 | PBE | relaxed

Cell: 16.255 4.430 12.229 Å, 90.00 90.00 90.00°
Space group Pnma (No. 62)
Unique sites:
K: 0.230 0.250 0.029
La: 0.019 0.250 0.340
Fe: 0.008 0.750 0.074
Te: 0.088 0.750 0.887
Te: 0.106 0.250 0.573
Te: 0.129 0.750 0.219

Values from the calculation:
* crystal system: orthorhombic
* relative energy among the computed polymorphs: 0 meV per atom

(8)
KLaFeTe3 | PBE | relaxed

Cell: 4.511 15.750 12.056 Å, 90.00 90.00 90.00°
Space group Cmcm (No. 63)
Unique sites:
K: 0.000 0.247 0.250
La: 0.000 0.500 0.000
Fe: 0.000 0.031 0.750
Te: 0.000 0.133 0.576
Te: 0.000 0.431 0.750

Values from the calculation:
* crystal system: orthorhombic
* relative energy among the computed polymorphs: 10 meV per atom

(9)
KLiFe4 | PBE | relaxed

Cell: 6.607 6.942 4.983 Å, 90.00 90.00 90.00°
Space group Cmmm (No. 65)
Unique sites:
K: 0.000 0.000 0.000
Li: 0.000 0.500 0.500
Fe: 0.000 0.354 0.000
Fe: 0.166 0.000 0.500

Values from the calculation:
* crystal system: orthorhombic
* VASP energy: -4.33 eV/atom

(10)
KLiFe2P2 | PBE | relaxed

Cell: 3.735 3.735 7.657 Å, 90.00 90.00 90.00°
Space group P4mm (No. 99)
Unique sites:
K: 0.000 0.000 0.000
Li: 0.500 0.500 0.372
Fe: 0.000 0.500 0.611
P: 0.000 0.000 0.453
P: 0.500 0.500 0.763

Values from the calculation:
* crystal system: tetragonal
* VASP energy: -5.60 eV/atom

(11)
KMgFeRe | PBE | relaxed

Cell: 6.712 6.712 6.712 Å, 90.00 90.00 90.00°
Space group F-43m (No. 216)
Unique sites:
K: 0.000 0.000 0.000
Mg: 0.250 0.250 0.250
Fe: 0.250 0.250 0.750
Re: 0.000 0.000 0.500

Values from the calculation:
* crystal system: cubic
* relative energy among the computed polymorphs: 0 meV per atom

(12)
KMgFeRe | PBE | relaxed

Cell: 6.448 6.448 6.448 Å, 90.00 90.00 90.00°
Space group F-43m (No. 216)
Unique sites:
K: 0.000 0.000 0.000
Mg: 0.250 0.250 0.250
Fe: 0.000 0.000 0.500
Re: 0.250 0.250 0.750

Values from the calculation:
* crystal system: cubic
* relative energy among the computed polymorphs: 46 meV per atom